{
  "formula": "BeHg2MoO",
  "functional": "GGA+U",
  "state": "optimized geometry",
  "energy_ev_per_atom": -2.811,
  "dos_at_fermi_per_ev_atom": 0.488,
  "lattice_angstrom": [[5.7494, 0.0000, 0.0000], [0.0000, 5.7494, 0.0000], [0.0000, 0.0000, 3.8394]],
  "species": ["Be", "Hg", "Hg", "Mo", "O"],
  "frac_coords": [[0.0000, 0.0000, 0.0000], [0.0000, 0.5000, 0.5000], [0.5000, 0.0000, 0.5000], [0.5000, 0.5000, 0.5000], [0.5000, 0.5000, 0.0000]]
}

---

{
  "formula": "Be2HgMoO",
  "functional": "GGA+U",
  "state": "optimized geometry",
  "energy_ev_per_atom": -2.210,
  "dos_at_fermi_per_ev_atom": 0.794,
  "lattice_angstrom": [[4.5969, 0.0000, 0.0000], [0.0000, 4.5969, 0.0000], [0.0000, 0.0000, 5.5383]],
  "species": ["Be", "Be", "Hg", "Mo", "O"],
  "frac_coords": [[0.0000, 0.5000, 0.0000], [0.5000, 0.0000, 0.0000], [0.0000, 0.0000, 0.5000], [0.0000, 0.0000, 0.0000], [0.5000, 0.5000, 0.5000]]
}